<P>
## TbDyScZn (GGA-PBE)

Data for crystalline TbDyScZn at its relaxed geometry.

Computed properties:
Total moment   0.00 Bohr magnetons per cell
D(E_F)   4.2 states/eV/f.u.

Cell lengths 3.4746, 3.4746, 8.4208 Å; angles 90.00, 90.00, 90.00 degrees
Space group P4mm (No. 99)
Symmetry-distinct sites (fractional):
Tb: 0.0000 0.0000 0.0000 x1
Dy: 0.5000 0.5000 0.6913 x1
Sc: 0.5000 0.5000 0.2847 x1
Zn: 0.0000 0.0000 0.4623 x1

=====

<Q>
## TbDyScZn (GGA-PBE)

Data for crystalline TbDyScZn at its relaxed geometry.

Computed properties:
Total moment   0.00 Bohr magnetons per cell
D(E_F)   4.3 states/eV/f.u.

Cell lengths 7.3774, 7.3774, 7.3774 Å; angles 90.00, 90.00, 90.00 degrees
Space group F-43m (No. 216)
Symmetry-distinct sites (fractional):
Tb: 0.0000 0.0000 0.0000 x4
Dy: 0.0000 0.0000 0.5000 x4
Sc: 0.2500 0.2500 0.7500 x4
Zn: 0.2500 0.2500 0.2500 x4

=====

Last place for stability: <Q>

=====

<P>
## Dy2ScTc (GGA-PBE)

Data for crystalline Dy2ScTc at its relaxed geometry.

Computed properties:
Total moment   0.84 Bohr magnetons per cell
D(E_F)   6.5 states/eV/f.u.

Cell lengths 3.4636, 3.4636, 8.1685 Å; angles 90.00, 90.00, 90.00 degrees
Space group P4/mmm (No. 123)
Symmetry-distinct sites (fractional):
Dy: 0.0000 0.0000 0.2001 x2
Sc: 0.5000 0.5000 0.5000 x1
Tc: 0.5000 0.5000 0.0000 x1

=====

<Q>
## Dy2ScTc (GGA-PBE)

Data for crystalline Dy2ScTc at its relaxed geometry.

Computed properties:
Total moment   0.00 Bohr magnetons per cell
D(E_F)   3.4 states/eV/f.u.

Cell lengths 7.1847, 9.0502, 6.1594 Å; angles 90.00, 90.00, 90.00 degrees
Space group Pnma (No. 62)
Symmetry-distinct sites (fractional):
Dy: 0.1792 0.0625 0.1628 x8
Sc: 0.0470 0.2500 0.6347 x4
Tc: 0.1168 0.7500 0.9791 x4

=====

Last place for stability: <P>

=====

<P>
## DyScTe (GGA-PBE)

Data for crystalline DyScTe at its relaxed geometry.

Computed properties:
Total moment   0.00 Bohr magnetons per cell
D(E_F)   4.3 states/eV/f.u.

Cell lengths 4.9433, 4.9433, 3.8676 Å; angles 90.00, 90.00, 120.00 degrees
Space group P3m1 (No. 156)
Symmetry-distinct sites (fractional):
Dy: 0.0000 0.0000 0.0000 x1
Sc: 0.6667 0.3333 0.4965 x1
Te: 0.3333 0.6667 0.3922 x1

=====

<Q>
## DyScTe (GGA-PBE)

Data for crystalline DyScTe at its relaxed geometry.

Computed properties:
Total moment   0.99 Bohr magnetons per cell
D(E_F)   1.8 states/eV/f.u.

Cell lengths 4.2415, 4.2415, 8.3854 Å; angles 90.00, 90.00, 90.00 degrees
Space group P4/nmm (No. 129, origin choice 2)
Symmetry-distinct sites (fractional):
Dy: 0.2500 0.2500 0.1380 x2
Sc: 0.2500 0.7500 0.5000 x2
Te: 0.2500 0.2500 0.7601 x2

=====

<R>
## DyScTe (GGA-PBE)

Data for crystalline DyScTe at its relaxed geometry.

Computed properties:
Total moment   0.00 Bohr magnetons per cell
D(E_F)   2.2 states/eV/f.u.

Cell lengths 3.7785, 3.7785, 10.9100 Å; angles 90.00, 90.00, 90.00 degrees
Space group I4mm (No. 107)
Symmetry-distinct sites (fractional):
Dy: 0.0000 0.0000 0.0000 x2
Sc: 0.0000 0.0000 0.3177 x2
Te: 0.0000 0.0000 0.6817 x2

=====

Last place for stability: <P>

=====

<P>
## DySc2Te4 (GGA-PBE)

Data for crystalline DySc2Te4 at its relaxed geometry.

Computed properties:
Total moment   0.00 Bohr magnetons per cell
D(E_F)   3.4 states/eV/f.u.

Cell lengths 4.1424, 13.7144, 14.4596 Å; angles 90.00, 90.00, 90.00 degrees
Space group Cmcm (No. 63)
Symmetry-distinct sites (fractional):
Dy: 0.0000 0.1265 0.2500 x4
Sc: 0.0000 0.3714 0.0664 x8
Te: 0.0000 0.0000 0.0000 x4
Te: 0.0000 0.2746 0.6177 x8
Te: 0.0000 0.4599 0.2500 x4

=====

<Q>
## DySc2Te4 (GGA-PBE)

Data for crystalline DySc2Te4 at its relaxed geometry.

Computed properties:
Total moment   0.00 Bohr magnetons per cell
D(E_F)   3.7 states/eV/f.u.

Cell lengths 15.8880, 4.1913, 7.2837 Å; angles 90.00, 116.92, 90.00 degrees
Space group C2/m (No. 12)
Symmetry-distinct sites (fractional):
Dy: 0.0000 0.0000 0.0000 x2
Sc: 0.2473 0.5000 0.7275 x4
Te: 0.1254 0.0000 0.4642 x4
Te: 0.1346 0.5000 0.9663 x4

=====

Last place for stability: <P>

=====

<P>
## DyScTe3 (GGA-PBE)

Data for crystalline DyScTe3 at its relaxed geometry.

Computed properties:
Total moment   0.00 Bohr magnetons per cell

Cell lengths 7.3135, 4.2532, 10.9745 Å; angles 90.00, 102.17, 90.00 degrees
Space group P2_1/m (No. 11)
Symmetry-distinct sites (fractional):
Dy: 0.1311 0.2500 0.1510 x2
Sc: 0.2708 0.2500 0.5097 x2
Te: 0.0384 0.7500 0.3502 x2
Te: 0.2615 0.7500 0.9999 x2
Te: 0.4714 0.7500 0.6618 x2

=====

<Q>
## DyScTe3 (GGA-PBE)

Data for crystalline DyScTe3 at its relaxed geometry.

Computed properties:
Total moment   0.00 Bohr magnetons per cell

Cell lengths 9.6661, 7.5057, 10.8460 Å; angles 90.00, 116.34, 90.00 degrees
Space group P2_1/c (No. 14)
Symmetry-distinct sites (fractional):
Dy: 0.2239 0.1774 0.1090 x4
Sc: 0.4190 0.7438 0.0314 x4
Te: 0.1137 0.6594 0.4498 x4
Te: 0.2770 0.0955 0.4012 x4
Te: 0.4342 0.5571 0.2939 x4

=====

Last place for stability: <Q>